# InIr2Cl (PBEsol, optimized geometry)
data_InIr2Cl
_cell_length_a 5.8576
_cell_length_b 7.3970
_cell_length_c 2.9526
_cell_angle_alpha 90.00
_cell_angle_beta 90.00
_cell_angle_gamma 90.00
_symmetry_space_group_name_H-M 'C m m m'
_symmetry_Int_Tables_number 65
_symmetry_space_group_name_Hall '-C 2 2'
loop_
_atom_site_label
_atom_site_type_symbol
_atom_site_fract_x
_atom_site_fract_y
_atom_site_fract_z
_atom_site_occupancy
In1 In 0.0000 0.0000 0.0000 1
Ir1 Ir 0.2500 0.2500 0.5000 1
Cl1 Cl 0.0000 0.5000 0.0000 1
# E_tot = -5.3986 eV per atom
# Formation energy without anion corrections = 73.40 kJ/mol of atoms